Record 1
This record from the Alexandria database describes a geometry-optimized La2C2F structure. The functional is PBE-GGA.

Cell lengths 3.8138, 3.8138, 7.2846 Å; angles 74.82, 74.82, 90.00 degrees
Positions (direct):
C (0.7500, 0.2500, 0.5000)
La (0.3600, 0.3600, 0.2799)
La (0.6400, 0.6400, 0.7201)
C (0.2500, 0.7500, 0.5000)
F (0.0000, 0.0000, 0.0000)

Energy above the lowest structure with this stoichiometry, meV/atom: 925
E_form (uncorrected), meV/atom: -357



Record 2
This record from the Alexandria database describes a geometry-optimized La2CF structure. The functional is PBE-GGA.

Cell lengths 4.5934, 4.5934, 4.5934 Å; angles 60.00, 60.00, 60.00 degrees
Positions (direct):
La (0.7500, 0.7500, 0.7500)
C (0.0000, 0.0000, 0.0000)
La (0.2500, 0.2500, 0.2500)
F (0.5000, 0.5000, 0.5000)

Energy above the lowest structure with this stoichiometry, meV/atom: 384
E_form (uncorrected), meV/atom: -1102



Record 3
This record from the Alexandria database describes a geometry-optimized La2CF structure. The functional is PBE-GGA.

Cell lengths 3.7111, 3.7111, 7.0950 Å; angles 74.84, 74.84, 60.00 degrees
Positions (direct):
La (0.0729, 0.0729, 0.7812)
C (0.6673, 0.6673, 0.9980)
La (0.2628, 0.2628, 0.2117)
F (0.4970, 0.4970, 0.5091)

Energy above the lowest structure with this stoichiometry, meV/atom: 53
E_form (uncorrected), meV/atom: -1432



Record 4
This record from the Alexandria database describes a geometry-optimized LaCF structure. The functional is PBE-GGA.

Cell lengths 3.9953, 4.1210, 7.0308 Å; angles 96.09, 90.00, 119.04 degrees
Positions (direct):
F (0.1825, 0.3654, 0.6049)
C (0.5702, 0.1406, 0.9458)
C (0.4298, 0.8594, 0.0542)
La (0.8472, 0.6952, 0.7697)
F (0.8175, 0.6346, 0.3951)
La (0.1528, 0.3048, 0.2303)

Energy above the lowest structure with this stoichiometry, meV/atom: 0
E_form (uncorrected), meV/atom: -1998



Record 5
This record from the Alexandria database describes a geometry-optimized LaC2F structure. The functional is PBE-GGA.

Cell lengths 4.2829, 4.2829, 4.2829 Å; angles 60.00, 60.00, 60.00 degrees
Positions (direct):
La (0.5000, 0.5000, 0.5000)
C (0.7500, 0.7500, 0.7500)
C (0.2500, 0.2500, 0.2500)
F (0.0000, 0.0000, 0.0000)

Energy above the lowest structure with this stoichiometry, meV/atom: 1038
E_form (uncorrected), meV/atom: 1075



Record 6
This record from the Alexandria database describes a geometry-optimized La2C2F structure. The functional is PBE-GGA.

Cell lengths 4.3612, 6.7061, 7.3033 Å; angles 106.74, 107.37, 90.00 degrees
Positions (direct):
La (0.5369, 0.3860, 0.7166)
La (0.1798, 0.8860, 0.7166)
F (0.5845, 0.7500, 0.0000)
C (0.6507, 0.9847, 0.5558)
C (0.9050, 0.4847, 0.5558)
La (0.8202, 0.1140, 0.2834)
C (0.0950, 0.5153, 0.4442)
La (0.4631, 0.6140, 0.2834)
F (0.4155, 0.2500, 0.0000)
C (0.3493, 0.0153, 0.4442)

Energy above the lowest structure with this stoichiometry, meV/atom: 0
E_form (uncorrected), meV/atom: -1282



Record 7
This record from the Alexandria database describes a geometry-optimized La4C2F5 structure. The functional is PBE-GGA.

Cell lengths 3.8563, 7.0539, 8.6230 Å; angles 114.15, 102.92, 90.00 degrees
Positions (direct):
La (0.0000, 0.7351, 0.0000)
F (0.1825, 0.4489, 0.3650)
La (0.6947, 0.6947, 0.3893)
F (0.1825, 0.9161, 0.3650)
F (0.5000, 0.0000, 0.0000)
F (0.8175, 0.5511, 0.6350)
C (0.5469, 0.5469, 0.0938)
F (0.8175, 0.0839, 0.6350)
La (0.0000, 0.2649, 0.0000)
C (0.4531, 0.4531, 0.9062)
La (0.3053, 0.3053, 0.6107)

E_form (uncorrected), meV/atom: -2574



Record 8
This record from the Alexandria database describes a geometry-optimized LaCF structure. The functional is PBE-GGA.

Cell lengths 3.7874, 3.2501, 7.1232 Å; angles 90.00, 105.42, 90.00 degrees
Positions (direct):
C (0.5276, 0.2500, 0.0552)
F (0.7361, 0.7500, 0.4721)
La (0.1197, 0.7500, 0.2394)
La (0.8803, 0.2500, 0.7606)
F (0.2639, 0.2500, 0.5279)
C (0.4724, 0.7500, 0.9448)

Energy above the lowest structure with this stoichiometry, meV/atom: 390
E_form (uncorrected), meV/atom: -1607



Record 9
This record from the Alexandria database describes a geometry-optimized La2C2F structure. The functional is PBE-GGA.

Cell lengths 7.0121, 7.0121, 3.5487 Å; angles 90.00, 90.00, 90.00 degrees
Positions (direct):
La (0.6969, 0.1969, 0.0000)
F (0.5000, 0.5000, 0.0000)
La (0.8031, 0.6969, 0.0000)
C (0.5699, 0.9301, 0.5000)
C (0.0699, 0.5699, 0.5000)
C (0.4301, 0.0699, 0.5000)
F (0.0000, 0.0000, 0.0000)
C (0.9301, 0.4301, 0.5000)
La (0.3031, 0.8031, 0.0000)
La (0.1969, 0.3031, 0.0000)

Energy above the lowest structure with this stoichiometry, meV/atom: 106
E_form (uncorrected), meV/atom: -1176



Record 10
This record from the Alexandria database describes a geometry-optimized La2CNF structure. The functional is PBE-GGA.

Cell lengths 4.8690, 3.6160, 4.8690 Å; angles 90.00, 90.00, 90.00 degrees
Positions (direct):
F (0.0000, 0.0000, 0.0000)
La (0.5000, 0.0000, 0.0000)
N (0.0000, 0.5000, 0.0000)
C (0.5000, 0.5000, 0.5000)
La (0.0000, 0.0000, 0.5000)

E_form (uncorrected), meV/atom: 67



Record 11
This record from the Alexandria database describes a geometry-optimized La6C2NF3 structure. The functional is PBE-GGA.

Cell lengths 6.4808, 6.4808, 6.7594 Å; angles 99.16, 99.16, 120.08 degrees
Positions (direct):
La (0.5961, 0.9262, 0.7778)
N (0.0000, 0.0000, 0.0000)
F (0.1774, 0.8226, 0.5000)
La (0.0738, 0.4039, 0.2222)
C (0.6662, 0.3338, 0.0000)
La (0.9262, 0.5961, 0.7778)
C (0.3338, 0.6662, 0.0000)
La (0.2567, 0.2567, 0.7776)
La (0.4039, 0.0738, 0.2222)
F (0.8226, 0.1774, 0.5000)
F (0.5000, 0.5000, 0.5000)
La (0.7433, 0.7433, 0.2224)

E_form (uncorrected), meV/atom: -1693



Record 12
This record from the Alexandria database describes a geometry-optimized LaCNF2 structure. The functional is PBE-GGA.

Cell lengths 4.5433, 4.5433, 4.9024 Å; angles 90.00, 90.00, 90.00 degrees
Positions (direct):
La (0.0000, 0.0000, 0.0000)
C (0.5000, 0.5000, 0.5000)
F (0.5000, 0.0000, 0.0000)
F (0.0000, 0.5000, 0.0000)
N (0.0000, 0.0000, 0.5000)

Energy above the lowest structure with this stoichiometry, meV/atom: 667
E_form (uncorrected), meV/atom: -93



Record 13
This record from the Alexandria database describes a geometry-optimized LaCNF2 structure. The functional is PBE-GGA.

Cell lengths 4.4835, 4.4835, 3.0159 Å; angles 90.00, 90.00, 90.00 degrees
Positions (direct):
F (0.0000, 0.5000, 0.0000)
N (0.0000, 0.0000, 0.5000)
F (0.5000, 0.0000, 0.0000)
La (0.5000, 0.5000, 0.5000)
C (0.0000, 0.0000, 0.0000)

Energy above the lowest structure with this stoichiometry, meV/atom: 0
E_form (uncorrected), meV/atom: -759



Record 14
This record from the Alexandria database describes a geometry-optimized La6CN2F3 structure. The functional is PBE-GGA.

Cell lengths 3.7033, 7.6716, 8.5261 Å; angles 105.54, 102.54, 90.00 degrees
Positions (direct):
F (0.1606, 0.8272, 0.3213)
La (0.6739, 0.5664, 0.3478)
N (0.8312, 0.6640, 0.6625)
C (0.5000, 0.0000, 0.0000)
N (0.1688, 0.3360, 0.3375)
La (0.3261, 0.4336, 0.6522)
La (0.9916, 0.7619, 0.9831)
La (0.3384, 0.8990, 0.6768)
F (0.8394, 0.1728, 0.6787)
La (0.0084, 0.2381, 0.0169)
La (0.6616, 0.1010, 0.3232)
F (0.5000, 0.5000, 0.0000)

E_form (uncorrected), meV/atom: -1887



Record 15
This record from the Alexandria database describes a geometry-optimized LaCOF2 structure. The functional is PBE-GGA.

Cell lengths 4.2654, 4.2654, 3.4242 Å; angles 90.00, 90.00, 90.00 degrees
Positions (direct):
La (0.5000, 0.5000, 0.5000)
C (0.0000, 0.0000, 0.0000)
F (0.5000, 0.0000, 0.0000)
O (0.0000, 0.0000, 0.5000)
F (0.0000, 0.5000, 0.0000)

Energy above the lowest structure with this stoichiometry, meV/atom: 0
E_form (uncorrected), meV/atom: -1058



Record 16
This record from the Alexandria database describes a geometry-optimized LaCOF2 structure. The functional is PBE-GGA.

Cell lengths 4.6147, 4.6147, 4.7975 Å; angles 90.00, 90.00, 90.00 degrees
Positions (direct):
F (0.5000, 0.0000, 0.0000)
C (0.5000, 0.5000, 0.5000)
La (0.0000, 0.0000, 0.0000)
O (0.0000, 0.0000, 0.5000)
F (0.0000, 0.5000, 0.0000)

Energy above the lowest structure with this stoichiometry, meV/atom: 24
E_form (uncorrected), meV/atom: -1034



Record 17
This record from the Alexandria database describes a geometry-optimized LaCO2F structure. The functional is PBE-GGA.

Cell lengths 3.8558, 3.8558, 3.7980 Å; angles 90.00, 90.00, 90.00 degrees
Positions (direct):
La (0.5000, 0.5000, 0.5000)
O (0.5000, 0.0000, 0.0000)
O (0.0000, 0.5000, 0.0000)
F (0.0000, 0.0000, 0.5000)
C (0.0000, 0.0000, 0.0000)

E_form (uncorrected), meV/atom: -1141



Record 18
This record from the Alexandria database describes a geometry-optimized LaCO2F structure. The functional is PBE-GGA.

Cell lengths 4.5881, 4.5881, 4.5578 Å; angles 90.00, 90.00, 90.00 degrees
Positions (direct):
O (0.5000, 0.0000, 0.0000)
O (0.0000, 0.5000, 0.0000)
C (0.5000, 0.5000, 0.5000)
La (0.0000, 0.0000, 0.0000)
F (0.0000, 0.0000, 0.5000)

E_form (uncorrected), meV/atom: -184



Record 19
This record from the Alexandria database describes a geometry-optimized LaPrCF structure. The functional is PBE-GGA.

Cell lengths 4.3900, 4.4424, 5.3076 Å; angles 90.00, 90.00, 119.61 degrees
Positions (direct):
C (0.1697, 0.3394, 0.0000)
La (0.1671, 0.3343, 0.5000)
Pr (0.8381, 0.6762, 0.0000)
F (0.8374, 0.6748, 0.5000)

E_form (uncorrected), meV/atom: -1189



Record 20
This record from the Alexandria database describes a geometry-optimized LaReC2F structure. The functional is PBE-GGA.

Cell lengths 4.6270, 4.2606, 4.6270 Å; angles 90.00, 90.00, 90.00 degrees
Positions (direct):
Re (0.5000, 0.5000, 0.5000)
C (0.5000, 0.0000, 0.0000)
F (0.0000, 0.5000, 0.0000)
La (0.0000, 0.0000, 0.0000)
C (0.0000, 0.0000, 0.5000)

E_form (uncorrected), meV/atom: 2008